{
  "formula": "AlTcSnH6",
  "functional": "PBE",
  "state": "optimized geometry",
  "lattice": [[0.000, 3.269, 3.269], [3.269, 0.000, 3.269], [3.269, 3.269, 0.000]],
  "species": ["Al", "Tc", "Sn", "H", "H", "H", "H", "H", "H"],
  "frac_coords": [[0.000, 0.000, 0.000], [0.500, 0.500, 0.500], [0.750, 0.750, 0.750], [0.090, 0.090, 0.410], [0.090, 0.410, 0.090], [0.090, 0.410, 0.410], [0.410, 0.090, 0.090], [0.410, 0.090, 0.410], [0.410, 0.410, 0.090]],
  "volume_a3_per_fu": 69.84,
  "e_tot_ev_per_atom": -3.4107,
  "spacegroup": "No. 216"
}